Rb2Pu2CrSe6 (GGA-PBE, optimized geometry); formation energy from raw total energies = -1.17 eV per atom
1.0
-3.915 -1.656 5.542
6.819 1.235 0.875
-2.593 8.056 -0.973
Se Rb Pu Cr
6 2 2 1
Direct
0.375 0.066 0.685 Se
0.756 0.756 0.683 Se
0.625 0.934 0.315 Se
0.066 0.375 0.685 Se
0.934 0.625 0.315 Se
0.244 0.244 0.317 Se
0.172 0.828 0.000 Rb
0.828 0.172 0.000 Rb
0.333 0.667 0.500 Pu
0.667 0.333 0.500 Pu
0.000 0.000 0.500 Cr